! RbNiPtO2, relaxed, DFT PBE with a Hubbard U; values from VASP
! * M_tot: 1.5 μB/f.u.
! * VASP energy: -3.721 eV/atom
&SYSTEM
  ibrav = 0, nat = 5, ntyp = 4
/
ATOMIC_SPECIES
Rb 85.47 Rb.upf
Ni 58.69 Ni.upf
Pt 195.08 Pt.upf
O 16.00 O.upf
CELL_PARAMETERS angstrom
4.221 0.000 0.000
0.000 4.221 0.000
0.000 0.000 4.668
ATOMIC_POSITIONS crystal
Rb 0.000 0.000 0.000
Ni 0.500 0.500 0.000
Pt 0.500 0.500 0.500
O 0.000 0.500 0.500
O 0.500 0.000 0.500